Below is crystalline Tm2MgTa at its relaxed geometry, with properties calculated at the PBE level.

Values from the calculation:
**Energy above the lowest structure with this stoichiometry**: 0.0 meV per atom
**Formation energy**: 0.14 eV/atom
**D(E_F)**: 1.35 states/eV/atom
**Space-group type**: P4/mmm
**Energy**: -5.45 eV/atom

Geometry as extended XYZ:
```
4
Lattice="3.187 0.000 0.000 0.000 3.187 0.000 0.000 0.000 9.748" Properties=species:S:1:pos:R:3 pbc="T T T"
Tm 0.000 0.000 2.213
Tm 0.000 0.000 7.535
Mg 1.593 1.593 4.874
Ta 1.593 1.593 0.000
```



Below is crystalline Tm2MgTa at its relaxed geometry, with properties calculated at the PBE level.

Values from the calculation:
**Energy above the lowest structure with this stoichiometry**: 406.9 meV per atom
**Formation energy**: 0.55 eV/atom
**D(E_F)**: 1.54 states/eV/atom
**Space-group type**: R-3m
**Energy**: -5.05 eV/atom

Geometry as extended XYZ:
```
4
Lattice="1.563 0.902 11.709 -1.563 0.902 11.709 0.000 -1.804 11.709" Properties=species:S:1:pos:R:3 pbc="T T T"
Tm 0.000 0.000 2.963
Tm 0.000 0.000 32.165
Mg 0.000 0.000 17.564
Ta 0.000 0.000 0.000
```



Below is crystalline Mg2TaV at its relaxed geometry, with properties calculated at the PBE level.

Values from the calculation:
**Energy above the lowest structure with this stoichiometry**: 249.0 meV per atom
**Formation energy**: 0.91 eV/atom
**D(E_F)**: 0.79 states/eV/atom
**Space-group type**: I-42d
**Energy**: -5.13 eV/atom

Geometry as extended XYZ:
```
8
Lattice="-3.776 3.776 2.658 3.776 -3.776 2.658 3.776 3.776 -2.658" Properties=species:S:1:pos:R:3 pbc="T T T"
Mg 1.888 1.752 -0.664
Mg 2.024 -1.888 3.322
Mg 1.888 2.024 1.993
Mg 1.752 5.664 0.664
Ta 3.776 0.000 1.329
Ta 0.000 0.000 2.658
V 0.000 0.000 0.000
V 0.000 3.776 1.329
```